1.
DFT (GGA-PBE) results for a geometry-optimized NpPaSbTe structure.

The structure in POSCAR format:
```
NpPaSbTe
1.0
0.000 3.761 3.761
3.761 0.000 3.761
3.761 3.761 0.000
Np Pa Sb Te
1 1 1 1
direct
0.000 0.000 0.000
0.500 0.500 0.500
0.250 0.250 0.250
0.750 0.750 0.750
```

Calculated values
* E_form (uncorrected): -456 meV/atom
* total moment: 6.8 μB per formula unit
* energy: -7.881 eV per atom



2.
DFT (GGA-PBE) results for a geometry-optimized Ba3MgTl2 structure.

The structure in POSCAR format:
```
Ba3MgTl2
1.0
4.304 0.000 0.000
0.000 4.304 0.000
0.000 0.000 13.064
Ba Mg Tl
3 1 2
direct
0.000 0.000 0.000
0.000 0.000 0.325
0.000 0.000 0.675
0.500 0.500 0.500
0.500 0.500 0.163
0.500 0.500 0.837
```

Calculated values
* total moment: 0.0 μB per formula unit
* formation energy from the elements: -290 meV/atom
* energy: -2.306 eV per atom



3.
DFT (GGA-PBE) results for a geometry-optimized TbEr3S structure.

The structure in POSCAR format:
```
TbEr3S
1.0
5.253 0.000 0.000
0.000 5.253 0.000
0.000 0.000 5.253
Tb Er S
1 3 1
direct
0.000 0.000 0.000
0.000 0.500 0.500
0.500 0.000 0.500
0.500 0.500 0.000
0.500 0.500 0.500
```

Calculated values
* E_form (uncorrected): -624 meV/atom
* total moment: 0.2 μB per formula unit
* energy: -5.113 eV per atom



4.
DFT (GGA-PBE) results for a geometry-optimized Sr2InO structure.

The structure in POSCAR format:
```
Sr2InO
1.0
-3.692 3.692 4.623
3.692 -3.692 4.623
3.692 3.692 -4.623
Sr In O
4 2 2
direct
0.007 0.625 0.882
0.375 0.257 0.382
0.743 0.125 0.118
0.875 0.993 0.618
0.250 0.750 0.500
0.500 0.500 0.000
0.000 0.000 0.000
0.750 0.250 0.500
```

Calculated values
* E_form (uncorrected): -1378 meV/atom
* total moment: 0.0 μB per formula unit
* ΔE to the lowest computed polymorph: 0 meV/atom
* energy: -4.143 eV per atom



5.
DFT (GGA-PBE) results for a geometry-optimized YZn2BC structure.

The structure in POSCAR format:
```
YZn2BC
1.0
5.707 0.000 0.000
0.000 5.707 0.000
0.000 0.000 4.306
Y Zn B C
1 2 1 1
direct
0.000 0.000 0.000
0.000 0.500 0.000
0.500 0.000 0.000
0.500 0.500 0.500
0.000 0.000 0.500
```

Calculated values
* total moment: 0.0 μB per formula unit
* formation energy from the elements: 2129 meV/atom
* energy: -2.853 eV per atom



6.
DFT (GGA-PBE) results for a geometry-optimized LiTePt2 structure.

The structure in POSCAR format:
```
LiTePt2
1.0
2.961 0.000 0.000
0.000 4.900 0.000
-0.091 0.000 4.796
Li Te Pt
1 1 2
direct
0.000 0.000 0.000
0.500 0.000 0.500
0.261 0.500 0.241
0.739 0.500 0.759
```

Calculated values
* E_form (uncorrected): -243 meV/atom
* total moment: 0.0 μB per formula unit
* energy: -4.527 eV per atom



7.
DFT (GGA-PBE) results for a geometry-optimized RbCdHg2I structure.

The structure in POSCAR format:
```
RbCdHg2I
1.0
5.614 0.000 0.000
0.000 5.614 0.000
0.000 0.000 6.806
Rb Cd Hg I
1 1 2 1
direct
0.000 0.000 0.000
0.500 0.500 0.500
0.000 0.500 0.500
0.500 0.000 0.500
0.500 0.500 0.000
```

Calculated values
* E_form (uncorrected): -401 meV/atom
* total moment: 0.0 μB per formula unit
* energy: -1.208 eV per atom



8.
DFT (GGA-PBE) results for a geometry-optimized Pm3Nd4Tm2 structure.

The structure in POSCAR format:
```
Pm3Nd4Tm2
1.0
3.630 0.000 0.000
-1.815 3.144 0.000
0.000 0.000 27.013
Pm Nd Tm
3 4 2
direct
0.000 0.000 0.000
0.000 0.000 0.338
0.667 0.333 0.675
0.000 0.000 0.563
0.000 0.000 0.787
0.667 0.333 0.230
0.667 0.333 0.451
0.667 0.333 0.104
0.667 0.333 0.893
```

Calculated values
* total moment: 0.0 μB per formula unit
* formation energy from the elements: 71 meV/atom
* ΔE to the lowest computed polymorph: 52 meV/atom
* energy: -4.625 eV per atom



9.
DFT (GGA-PBE) results for a geometry-optimized Na5LiCd structure.

The structure in POSCAR format:
```
Na5LiCd
1.0
4.478 -3.990 0.000
4.478 3.990 0.000
-1.012 0.000 12.135
Na Li Cd
10 2 2
direct
0.040 0.313 0.599
0.051 0.365 0.876
0.175 0.825 0.750
0.313 0.040 0.099
0.365 0.051 0.376
0.635 0.949 0.624
0.687 0.960 0.901
0.825 0.175 0.250
0.949 0.635 0.124
0.960 0.687 0.401
0.500 0.500 0.000
0.500 0.500 0.500
0.435 0.565 0.250
0.565 0.435 0.750
```

Calculated values
* total moment: 0.0 μB per formula unit
* formation energy from the elements: 6 meV/atom
* energy: -1.340 eV per atom



10.
DFT (GGA-PBE) results for a geometry-optimized KCr2Co structure.

The structure in POSCAR format:
```
KCr2Co
1.0
1.488 -2.214 0.000
1.488 2.214 0.000
0.000 0.000 9.436
K Cr Co
1 2 1
direct
0.000 0.000 0.000
0.000 0.000 0.507
0.500 0.500 0.326
0.500 0.500 0.707
```

Calculated values
* total moment: 1.3 μB per formula unit
* formation energy from the elements: 877 meV/atom
* ΔE to the lowest computed polymorph: 120 meV/atom
* energy: -5.986 eV per atom



11.
DFT (GGA-PBE) results for a geometry-optimized Li5AlAg4 structure.

The structure in POSCAR format:
```
Li5AlAg4
1.0
3.110 0.000 0.000
0.000 3.110 0.000
0.000 0.000 16.422
Li Al Ag
5 1 4
direct
0.000 0.000 0.000
0.000 0.000 0.201
0.000 0.000 0.398
0.000 0.000 0.602
0.000 0.000 0.799
0.500 0.500 0.500
0.500 0.500 0.100
0.500 0.500 0.302
0.500 0.500 0.698
0.500 0.500 0.900
```

Calculated values
* total moment: 0.0 μB per formula unit
* formation energy from the elements: -194 meV/atom
* ΔE to the lowest computed polymorph: 19 meV/atom
* energy: -2.665 eV per atom



12.
DFT (GGA-PBE) results for a geometry-optimized FeCoPt2 structure.

The structure in POSCAR format:
```
FeCoPt2
1.0
4.495 -1.366 0.000
4.495 1.366 0.000
-1.050 0.000 4.499
Fe Co Pt
1 1 2
direct
0.000 0.000 0.000
0.731 0.731 0.268
0.247 0.247 0.783
0.484 0.484 0.480
```

Calculated values
* total moment: 5.6 μB per formula unit
* formation energy from the elements: -149 meV/atom
* energy: -7.061 eV per atom